Below is crystalline ZrVFe2 at its relaxed geometry, with properties calculated at the GGA-PBE level.

Cell: 3.056 4.296 4.296 Å, 90.00 90.00 90.00°
Site moments in Bohr magnetons follow the coordinates.
Element x y z (fractional)
Fe  0.000  0.000  0.500  1.12
Fe  0.000  0.500  0.000  1.12
V  0.500  0.500  0.500  -0.81
Zr  0.500  0.000  0.000  -0.27

M_tot: 0.92 μB/f.u.
Polymorph energy (0 for the lowest one): 0.067 eV per atom
SG: P4/mmm (123)



Below is crystalline ZrV3Fe at its relaxed geometry, with properties calculated at the GGA-PBE level.

Cell: 4.567 4.567 4.567 Å, 90.00 90.00 90.00°
Site moments in Bohr magnetons follow the coordinates.
Element x y z (fractional)
V  0.000  0.000  0.500  0.06
V  0.500  0.000  0.000  0.06
V  0.000  0.500  0.000  0.06
Zr  0.000  0.000  0.000  0.01
Fe  0.500  0.500  0.500  3.20

M_tot: 3.33 μB/f.u.
Polymorph energy (0 for the lowest one): 1.406 eV per atom
SG: Pm-3m (221)



Below is crystalline ZrVFe4 at its relaxed geometry, with properties calculated at the GGA-PBE level.

Cell: 4.845 4.845 4.845 Å, 60.00 60.00 60.00°
Site moments in Bohr magnetons follow the coordinates.
Element x y z (fractional)
Fe  0.625  0.625  0.126  1.86
Fe  0.625  0.126  0.625  1.86
Fe  0.625  0.625  0.625  1.86
Fe  0.126  0.625  0.625  1.86
V  0.250  0.250  0.250  -1.64
Zr  0.000  0.000  0.000  -0.39

M_tot: 4.96 μB/f.u.
SG: F-43m (216)



Below is crystalline Zr2V2Fe15 at its relaxed geometry, with properties calculated at the GGA-PBE level.

Cell: 6.298 6.298 6.298 Å, 81.38 81.38 81.38°
Site moments in Bohr magnetons follow the coordinates.
Element x y z (fractional)
Fe  0.658  0.658  0.162  1.83
Fe  0.311  0.689  0.000  2.17
Fe  0.000  0.689  0.311  2.17
Fe  0.838  0.342  0.342  1.83
Fe  0.500  0.000  0.000  1.73
Fe  0.689  0.311  0.000  2.17
Fe  0.342  0.342  0.838  1.83
Fe  0.000  0.311  0.689  2.17
Fe  0.162  0.658  0.658  1.83
Fe  0.311  0.000  0.689  2.17
Fe  0.342  0.838  0.342  1.83
Fe  0.000  0.000  0.500  1.73
Fe  0.000  0.500  0.000  1.73
Fe  0.658  0.162  0.658  1.83
Fe  0.689  0.000  0.311  2.17
Zr  0.344  0.344  0.344  -0.39
Zr  0.656  0.656  0.656  -0.39
V  0.096  0.096  0.096  -0.88
V  0.904  0.904  0.904  -0.88

M_tot: 25.84 μB/f.u.
SG: R-3m (166)



| no. | energy of formation (meV per atom) | DFT total energy (eV per atom) | Fermi-level density of states (states/eV/f.u.) |
| --- | --- | --- | --- |
| 1 | -35 | -8.68 | 3.4 |
| 2 | 1891 | -6.98 | 9.9 |
| 3 | -142 | -8.73 | 7.9 |
| 4 | -78 | -8.62 | 24.2 |